No. 1
# Cs2YSnS4

An optimized crystal structure of Cs2YSnS4 (PBE, Alexandria).

Magnetic moment = 0.0 μB/f.u.
Symmetry = No. 70
Raw formation energy = -1121 meV per atom

Cell lengths 6.815, 8.291, 13.126 Å; angles 83.88, 74.95, 65.73 degrees
Sites, in units of the cell vectors:
Cs  0.181  0.000  0.638
Cs  0.819  0.000  0.362
Cs  0.569  0.500  0.862
Cs  0.931  0.500  0.138
Y  0.750  0.500  0.500
Y  0.000  0.000  0.000
Sn  0.250  0.500  0.500
Sn  0.500  0.000  0.000
S  0.296  0.806  0.102
S  0.205  0.194  0.898
S  0.897  0.806  0.898
S  0.602  0.194  0.102
S  0.454  0.694  0.398
S  0.545  0.306  0.602
S  0.853  0.694  0.602
S  0.148  0.306  0.398

No. 2
# CsYSnS3

An optimized crystal structure of CsYSnS3 (PBE, Alexandria).

Magnetic moment = 0.0 μB/f.u.
Symmetry = No. 63
Raw formation energy = -1292 meV per atom

Cell lengths 4.000, 9.105, 11.443 Å; angles 90.00, 90.00, 102.69 degrees
Sites, in units of the cell vectors:
Cs  0.690  0.379  0.750
Cs  0.310  0.621  0.250
Y  0.000  0.000  0.500
Y  0.000  0.000  0.000
Sn  0.391  0.782  0.750
Sn  0.609  0.218  0.250
S  0.604  0.207  0.493
S  0.396  0.793  0.507
S  0.396  0.793  0.993
S  0.604  0.207  0.007
S  0.990  0.980  0.750
S  0.010  0.020  0.250

No. 3
# Cs2ZnSnS4

An optimized crystal structure of Cs2ZnSnS4 (PBE, Alexandria).

Magnetic moment = 0.0 μB/f.u.
Symmetry = No. 70
Raw formation energy = -915 meV per atom

Cell lengths 6.185, 7.860, 12.742 Å; angles 84.52, 75.95, 66.83 degrees
Sites, in units of the cell vectors:
Cs  0.179  0.000  0.641
Cs  0.821  0.000  0.359
Cs  0.571  0.500  0.859
Cs  0.929  0.500  0.141
Zn  0.250  0.500  0.500
Zn  0.500  0.000  0.000
Sn  0.750  0.500  0.500
Sn  0.000  0.000  0.000
S  0.290  0.817  0.105
S  0.211  0.183  0.895
S  0.893  0.817  0.895
S  0.605  0.183  0.105
S  0.460  0.683  0.395
S  0.539  0.317  0.605
S  0.857  0.683  0.605
S  0.145  0.317  0.395

No. 4
# Cs2SrS

An optimized crystal structure of Cs2SrS (PBE, Alexandria).

Magnetic moment = 0.0 μB/f.u.
Symmetry = No. 122
Polymorph energy (0 for the lowest one) = 0.0000 eV per atom
Raw formation energy = -689 meV per atom

Cell lengths 13.609, 13.609, 10.039 Å; angles 47.33, 47.33, 90.00 degrees
Sites, in units of the cell vectors:
Cs  0.461  0.125  0.250
Cs  0.289  0.625  0.250
Cs  0.375  0.539  0.750
Cs  0.875  0.711  0.750
Sr  0.000  0.000  0.000
Sr  0.750  0.250  0.500
S  0.500  0.500  0.000
S  0.250  0.750  0.500

No. 5
# CsSrS2

An optimized crystal structure of CsSrS2 (PBE, Alexandria).

Magnetic moment = 1.0 μB/f.u.
Symmetry = No. 122
Raw formation energy = -1071 meV per atom

Cell lengths 7.007, 7.007, 9.197 Å; angles 67.61, 67.61, 90.00 degrees
Each line ends with the local moment (μB).
Sites, in units of the cell vectors:
Cs  0.000  0.000  0.000  0.02
Cs  0.750  0.250  0.500  0.02
Sr  0.500  0.500  0.000  -0.01
Sr  0.250  0.750  0.500  -0.01
S  0.544  0.125  0.250  0.29
S  0.206  0.625  0.250  0.28
S  0.375  0.456  0.750  0.27
S  0.875  0.794  0.750  0.26

No. 6
# CsSrS3

An optimized crystal structure of CsSrS3 (PBE, Alexandria).

Magnetic moment = 3.0 μB/f.u.
Symmetry = No. 221
Polymorph energy (0 for the lowest one) = 0.0000 eV per atom
Raw formation energy = -542 meV per atom

Cell lengths 5.783, 5.783, 5.783 Å; angles 90.00, 90.00, 90.00 degrees
Each line ends with the local moment (μB).
Sites, in units of the cell vectors:
Cs  0.500  0.500  0.500  0.00
Sr  0.000  0.000  0.000  -0.01
S  0.000  0.500  0.000  0.59
S  0.000  0.000  0.500  0.59
S  0.500  0.000  0.000  0.59

No. 7
# CsSrS2

An optimized crystal structure of CsSrS2 (PBE, Alexandria).

Magnetic moment = 1.0 μB/f.u.
Symmetry = No. 225
Raw formation energy = -1016 meV per atom

Cell lengths 5.503, 5.503, 5.503 Å; angles 60.00, 60.00, 60.00 degrees
Each line ends with the local moment (μB).
Sites, in units of the cell vectors:
Cs  0.500  0.500  0.500  0.01
Sr  0.000  0.000  0.000  0.00
S  0.250  0.250  0.250  0.30
S  0.750  0.750  0.750  0.30

No. 8
# Cs2SrS2

An optimized crystal structure of Cs2SrS2 (PBE, Alexandria).

Magnetic moment = 0.0 μB/f.u.
Symmetry = No. 139
Polymorph energy (0 for the lowest one) = 0.3270 eV per atom
Raw formation energy = -747 meV per atom

Cell lengths 4.706, 4.706, 8.866 Å; angles 74.61, 74.61, 90.00 degrees
Sites, in units of the cell vectors:
Cs  0.750  0.250  0.500
Cs  0.250  0.750  0.500
Sr  0.000  0.000  0.000
S  0.395  0.395  0.210
S  0.605  0.605  0.790

No. 9
# CsSrS3

An optimized crystal structure of CsSrS3 (PBE, Alexandria).

Magnetic moment = 0.0 μB/f.u.
Symmetry = No. 221
Polymorph energy (0 for the lowest one) = 0.6397 eV per atom
Raw formation energy = 98 meV per atom

Cell lengths 5.458, 5.458, 5.458 Å; angles 90.00, 90.00, 90.00 degrees
Sites, in units of the cell vectors:
Cs  0.000  0.000  0.000
Sr  0.500  0.500  0.500
S  0.000  0.500  0.000
S  0.000  0.000  0.500
S  0.500  0.000  0.000

No. 10
# Cs2SrS

An optimized crystal structure of Cs2SrS (PBE, Alexandria).

Magnetic moment = 0.0 μB/f.u.
Symmetry = No. 166
Polymorph energy (0 for the lowest one) = 0.2222 eV per atom
Raw formation energy = -467 meV per atom

Cell lengths 4.817, 4.817, 13.524 Å; angles 79.74, 79.74, 60.00 degrees
Sites, in units of the cell vectors:
Cs  0.122  0.122  0.635
Cs  0.878  0.878  0.365
Sr  0.000  0.000  0.000
S  0.500  0.500  0.500

No. 11
# Cs2SrS

An optimized crystal structure of Cs2SrS (PBE, Alexandria).

Magnetic moment = 0.0 μB/f.u.
Symmetry = No. 225
Polymorph energy (0 for the lowest one) = 0.5678 eV per atom
Raw formation energy = -121 meV per atom

Cell lengths 6.622, 6.622, 6.622 Å; angles 60.00, 60.00, 60.00 degrees
Sites, in units of the cell vectors:
Cs  0.250  0.250  0.250
Cs  0.750  0.750  0.750
Sr  0.500  0.500  0.500
S  0.000  0.000  0.000

No. 12
# Cs2SrS2

An optimized crystal structure of Cs2SrS2 (PBE, Alexandria).

Magnetic moment = 0.0 μB/f.u.
Symmetry = No. 127
Polymorph energy (0 for the lowest one) = 0.0000 eV per atom
Raw formation energy = -1074 meV per atom

Cell lengths 8.470, 8.470, 5.251 Å; angles 90.00, 90.00, 90.00 degrees
Sites, in units of the cell vectors:
Cs  0.141  0.641  0.500
Cs  0.641  0.859  0.500
Cs  0.859  0.359  0.500
Cs  0.359  0.141  0.500
Sr  0.000  0.000  0.000
Sr  0.500  0.500  0.000
S  0.314  0.814  0.000
S  0.814  0.686  0.000
S  0.686  0.186  0.000
S  0.186  0.314  0.000

Mass density readings, ordered: 3.06, 3.57, 3.48, 2.42, 2.48, 2.72, 4.01, 3.81, 3.24, 2.41, 3.12, 3.68 g/cm3
Final energy readings, ordered: -4.7063, -5.2429, -3.8515, -2.5679, -3.7688, -3.5256, -3.7134, -3.0757, -2.8859, -2.3457, -2.0001, -3.4027 eV per atom